# LiTlCuMo

An optimized crystal structure of LiTlCuMo (PBE, OQMD).

Unit cell a=4.476 b=4.476 c=4.476 alpha=60.00 beta=60.00 gamma=60.00
Fractional coordinates of all 4 atoms:
Cu  0.750  0.750  0.750
Li  0.250  0.250  0.250
Tl  0.000  0.000  0.000
Mo  0.500  0.500  0.500

Summary:
Excess energy over the best structure of this formula in the dataset ... 0 meV per atom
Space-group type ... F-43m